# BaCaPPt2 PBE relaxed
data_BaCaPPt2
_chemical_formula_sum 'Ba1 Ca1 P1 Pt2'
_cell_length_a 5.239
_cell_length_b 5.239
_cell_length_c 5.259
_cell_angle_alpha 90.00
_cell_angle_beta 90.00
_cell_angle_gamma 90.00
_space_group_name_H-M_alt 'P 4/m m m'
_space_group_IT_number 123
_space_group_name_Hall '-P 4 2'
loop_
_atom_site_label
_atom_site_type_symbol
_atom_site_fract_x
_atom_site_fract_y
_atom_site_fract_z
Ba1 Ba 0.000 0.000 0.000
Ca1 Ca 0.500 0.500 0.500
P1 P 0.500 0.500 0.000
Pt1 Pt 0.000 0.500 0.500
# - ΔH_f (0 K): 0.16 eV per atom
# - E_tot: -4.12 eV per atom